No. 1
{"formula": "LiAc2Tl3", "functional": "PBE", "state": "optimized geometry", "cell": [[-4.053, -2.397, -2.122], [-2.577, -4.616, 3.852], [-5.715, 2.654, 1.633]], "species": ["Tl", "Tl", "Tl", "Li", "Ac", "Ac"], "frac_coords": [[0.818, 0.226, 0.137], [0.858, 0.611, 0.673], [0.160, 0.771, 0.909], [0.171, 0.390, 0.269], [0.531, 0.212, 0.725], [0.461, 0.791, 0.287]], "formation_energy_ev_per_atom": -0.327, "de_polymorph_mev_per_atom": 0.0, "crystal_system": "monoclinic"}

=====

No. 2
{"formula": "RbNaBiS3", "functional": "PBE", "state": "optimized geometry", "cell": [[3.986, 0.000, 0.000], [0.000, 10.092, 2.512], [0.000, -1.843, 8.229]], "species": ["Rb", "Rb", "Na", "Na", "S", "S", "S", "S", "S", "S", "Bi", "Bi"], "frac_coords": [[0.250, 0.320, 0.435], [0.750, 0.680, 0.565], [0.250, 0.017, 0.819], [0.750, 0.983, 0.181], [0.750, 0.517, 0.202], [0.250, 0.828, 0.315], [0.250, 0.483, 0.798], [0.250, 0.182, 0.087], [0.750, 0.818, 0.913], [0.750, 0.172, 0.685], [0.750, 0.324, 0.927], [0.250, 0.676, 0.073]], "formation_energy_uncorrected_ev_per_atom": -0.655, "crystal_system": "monoclinic"}

=====

no.,final energy (eV/f.u.),density of states at the Fermi level (states/eV/cell)
1,-19.19,3.876
2,-22.48,10.324